# Zr2HPdPb GGA-PBE relaxed
data_Zr2HPdPb
_chemical_formula_sum 'Zr2 H1 Pd1 Pb1'
_cell_length_a 4.444
_cell_length_b 4.444
_cell_length_c 4.296
_cell_angle_alpha 90.00
_cell_angle_beta 90.00
_cell_angle_gamma 90.00
_symmetry_space_group_name_H-M 'P 4/m m m'
_symmetry_Int_Tables_number 123
_symmetry_space_group_name_Hall '-P 4 2'
loop_
_atom_site_label
_atom_site_type_symbol
_atom_site_fract_x
_atom_site_fract_y
_atom_site_fract_z
Zr1 Zr 0.000 0.500 0.000
H1 H 0.000 0.000 0.000
Pd1 Pd 0.000 0.000 0.500
Pb1 Pb 0.500 0.500 0.500
# Uncorrected energy in Ry/atom: -0.4604

***

# AgHgIr2W GGA-PBE relaxed
data_AgHgIr2W
_chemical_formula_sum 'Ag1 Hg1 Ir2 W1'
_cell_length_a 4.745
_cell_length_b 4.745
_cell_length_c 5.308
_cell_angle_alpha 90.00
_cell_angle_beta 90.00
_cell_angle_gamma 90.00
_symmetry_space_group_name_H-M 'P 4/m m m'
_symmetry_Int_Tables_number 123
_symmetry_space_group_name_Hall '-P 4 2'
loop_
_atom_site_label
_atom_site_type_symbol
_atom_site_fract_x
_atom_site_fract_y
_atom_site_fract_z
Ag1 Ag 0.000 0.000 0.000
Hg1 Hg 0.500 0.500 0.000
Ir1 Ir 0.000 0.500 0.500
W1 W 0.500 0.500 0.500
# Energy relative to the elements in meV per atom: 1440

***

# TbCePm2 GGA-PBE relaxed
data_TbCePm2
_chemical_formula_sum 'Tb3 Ce3 Pm6'
_cell_length_a 3.5883
_cell_length_b 3.5883
_cell_length_c 35.1523
_cell_angle_alpha 90.00
_cell_angle_beta 90.00
_cell_angle_gamma 120.00
_symmetry_space_group_name_H-M 'R 3 m'
_symmetry_Int_Tables_number 160
_symmetry_space_group_name_Hall 'R 3 -2"'
loop_
_atom_site_label
_atom_site_type_symbol
_atom_site_fract_x
_atom_site_fract_y
_atom_site_fract_z
Tb1 Tb 0.0000 0.0000 0.0000
Ce1 Ce 0.0000 0.0000 0.8336
Pm1 Pm 0.0000 0.0000 0.4167
Pm2 Pm 0.0000 0.0000 0.5829
# E above lowest polymorph in meV/atom: 1.1
# Energy relative to the elements in meV per atom: 65

***

# Li2Tb3In4 GGA-PBE relaxed
data_Li2Tb3In4
_chemical_formula_sum 'Li4 Tb6 In8'
_cell_length_a 10.964
_cell_length_b 4.906
_cell_length_c 9.321
_cell_angle_alpha 90.00
_cell_angle_beta 118.50
_cell_angle_gamma 90.00
_symmetry_space_group_name_H-M 'C 1 2/m 1'
_symmetry_Int_Tables_number 12
_symmetry_space_group_name_Hall '-C 2y'
loop_
_atom_site_label
_atom_site_type_symbol
_atom_site_fract_x
_atom_site_fract_y
_atom_site_fract_z
Li1 Li 0.110 0.000 0.281
Tb1 Tb 0.000 0.500 0.000
Tb2 Tb 0.165 0.000 0.659
In1 In 0.050 0.500 0.376
In2 In 0.233 0.000 0.079
# Energy relative to the elements in meV per atom: -412

***

# Ta4AlTc GGA-PBE relaxed
data_Ta4AlTc
_chemical_formula_sum 'Ta16 Al4 Tc4'
_cell_length_a 7.571
_cell_length_b 7.571
_cell_length_c 7.571
_cell_angle_alpha 90.00
_cell_angle_beta 90.00
_cell_angle_gamma 90.00
_symmetry_space_group_name_H-M 'F -4 3 m'
_symmetry_Int_Tables_number 216
_symmetry_space_group_name_Hall 'F -4 2 3'
loop_
_atom_site_label
_atom_site_type_symbol
_atom_site_fract_x
_atom_site_fract_y
_atom_site_fract_z
Ta1 Ta 0.125 0.125 0.125
Al1 Al 0.000 0.000 0.500
Tc1 Tc 0.250 0.250 0.750
# Energy relative to the elements in meV per atom: 328

***

# NdAl3Ge3 GGA-PBE relaxed
data_NdAl3Ge3
_chemical_formula_sum 'Nd2 Al6 Ge6'
_cell_length_a 6.996
_cell_length_b 6.996
_cell_length_c 6.996
_cell_angle_alpha 90.00
_cell_angle_beta 90.00
_cell_angle_gamma 90.00
_symmetry_space_group_name_H-M 'P m -3 n'
_symmetry_Int_Tables_number 223
_symmetry_space_group_name_Hall '-P 4n 2 3'
loop_
_atom_site_label
_atom_site_type_symbol
_atom_site_fract_x
_atom_site_fract_y
_atom_site_fract_z
Nd1 Nd 0.000 0.000 0.000
Al1 Al 0.000 0.250 0.500
Ge1 Ge 0.000 0.500 0.250
# Energy relative to the elements in meV per atom: 81

***

# As3Se5 GGA-PBE relaxed
data_As3Se5
_chemical_formula_sum 'As6 Se10'
_cell_length_a 7.514
_cell_length_b 7.586
_cell_length_c 7.767
_cell_angle_alpha 90.00
_cell_angle_beta 90.00
_cell_angle_gamma 90.00
_symmetry_space_group_name_H-M 'C m m m'
_symmetry_Int_Tables_number 65
_symmetry_space_group_name_Hall '-C 2 2'
loop_
_atom_site_label
_atom_site_type_symbol
_atom_site_fract_x
_atom_site_fract_y
_atom_site_fract_z
As1 As 0.000 0.000 0.000
As2 As 0.221 0.000 0.500
Se1 Se 0.000 0.232 0.500
Se2 Se 0.000 0.500 0.000
Se3 Se 0.250 0.250 0.000
# E above lowest polymorph in meV/atom: 219.3
# Uncorrected formation energy in eV per atom: 0.2818

***

# ScSb2Rh GGA-PBE relaxed
data_ScSb2Rh
_chemical_formula_sum 'Sc2 Sb4 Rh2'
_cell_length_a 4.319
_cell_length_b 5.315
_cell_length_c 7.243
_cell_angle_alpha 90.00
_cell_angle_beta 90.00
_cell_angle_gamma 90.00
_symmetry_space_group_name_H-M 'C m m m'
_symmetry_Int_Tables_number 65
_symmetry_space_group_name_Hall '-C 2 2'
loop_
_atom_site_label
_atom_site_type_symbol
_atom_site_fract_x
_atom_site_fract_y
_atom_site_fract_z
Sc1 Sc 0.000 0.000 0.000
Sb1 Sb 0.000 0.500 0.274
Rh1 Rh 0.000 0.000 0.500
# Uncorrected formation energy in eV per atom: -0.3945

***

# Ca2Ga3Pd5 GGA-PBE relaxed
data_Ca2Ga3Pd5
_chemical_formula_sum 'Ca8 Ga12 Pd20'
_cell_length_a 11.150
_cell_length_b 11.628
_cell_length_c 5.856
_cell_angle_alpha 90.00
_cell_angle_beta 90.00
_cell_angle_gamma 90.00
_symmetry_space_group_name_H-M 'I b a m'
_symmetry_Int_Tables_number 72
_symmetry_space_group_name_Hall '-I 2 2c'
loop_
_atom_site_label
_atom_site_type_symbol
_atom_site_fract_x
_atom_site_fract_y
_atom_site_fract_z
Ca1 Ca 0.232 0.136 0.000
Ga1 Ga 0.000 0.500 0.250
Ga2 Ga 0.118 0.135 0.500
Pd1 Pd 0.000 0.000 0.250
Pd2 Pd 0.000 0.269 0.250
Pd3 Pd 0.164 0.402 0.000
# E above lowest polymorph in meV/atom: 0.0
# Energy relative to the elements in meV per atom: -704

***

# HfTlCd2Fe GGA-PBE relaxed
data_HfTlCd2Fe
_chemical_formula_sum 'Hf1 Tl1 Cd2 Fe1'
_cell_length_a 5.177
_cell_length_b 5.177
_cell_length_c 4.857
_cell_angle_alpha 90.00
_cell_angle_beta 90.00
_cell_angle_gamma 90.00
_symmetry_space_group_name_H-M 'P 4/m m m'
_symmetry_Int_Tables_number 123
_symmetry_space_group_name_Hall '-P 4 2'
loop_
_atom_site_label
_atom_site_type_symbol
_atom_site_fract_x
_atom_site_fract_y
_atom_site_fract_z
Hf1 Hf 0.000 0.000 0.000
Tl1 Tl 0.500 0.500 0.500
Cd1 Cd 0.000 0.500 0.500
Fe1 Fe 0.500 0.500 0.000
# Energy relative to the elements in meV per atom: 1482

***

# CePm4Pr10 GGA-PBE relaxed
data_CePm4Pr10
_chemical_formula_sum 'Ce2 Pm8 Pr20'
_cell_length_a 11.573
_cell_length_b 11.573
_cell_length_c 8.087
_cell_angle_alpha 90.00
_cell_angle_beta 90.00
_cell_angle_gamma 90.00
_symmetry_space_group_name_H-M 'I 4/m m m'
_symmetry_Int_Tables_number 139
_symmetry_space_group_name_Hall '-I 4 2'
loop_
_atom_site_label
_atom_site_type_symbol
_atom_site_fract_x
_atom_site_fract_y
_atom_site_fract_z
Ce1 Ce 0.000 0.000 0.000
Pm1 Pm 0.227 0.227 0.000
Pr1 Pr 0.000 0.211 0.289
Pr2 Pr 0.000 0.500 0.250
# Energy relative to the elements in meV per atom: 223

***

# TbNd3 GGA-PBE relaxed
data_TbNd3
_chemical_formula_sum 'Tb1 Nd3'
_cell_length_a 5.162
_cell_length_b 5.162
_cell_length_c 5.162
_cell_angle_alpha 90.00
_cell_angle_beta 90.00
_cell_angle_gamma 90.00
_symmetry_space_group_name_H-M 'P m -3 m'
_symmetry_Int_Tables_number 221
_symmetry_space_group_name_Hall '-P 4 2 3'
loop_
_atom_site_label
_atom_site_type_symbol
_atom_site_fract_x
_atom_site_fract_y
_atom_site_fract_z
Tb1 Tb 0.000 0.000 0.000
Nd1 Nd 0.000 0.500 0.500
# E above lowest polymorph in meV/atom: 0.0
# Energy relative to the elements in meV per atom: 15

***

| no. | DOS at the Fermi energy (states/eV per cell) |
| --- | --- |
| 1 | 2.843 |
| 2 | 5.110 |
| 3 | 22.518 |
| 4 | 7.141 |
| 5 | 34.362 |
| 6 | 4.508 |
| 7 | 10.646 |
| 8 | 7.066 |
| 9 | 19.117 |
| 10 | 7.158 |
| 11 | 47.291 |
| 12 | 6.682 |